! PmNp5S6 | the Alexandria database | GGA-PBE | relaxed; values from VASP
! E_tot	-9.333	eV per atom
! SG	C2/m (12)
! raw formation energy	-1.48	eV/atom
! M_tot	20.74	μB per cell
&SYSTEM
  ibrav = 0, nat = 12, ntyp = 3
/
ATOMIC_SPECIES
Pm 145.00 Pm.upf
Np 237.00 Np.upf
S 32.06 S.upf
CELL_PARAMETERS angstrom
3.397 -5.882 0.000
3.397 5.882 0.000
-2.260 0.000 6.417
ATOMIC_POSITIONS crystal
Pm 0.000 0.000 0.000
Np 0.164 0.836 0.500
Np 0.333 0.667 0.000
Np 0.500 0.500 0.500
Np 0.667 0.333 0.000
Np 0.836 0.164 0.500
S 0.086 0.426 0.256
S 0.257 0.257 0.748
S 0.426 0.086 0.256
S 0.574 0.914 0.744
S 0.743 0.743 0.252
S 0.914 0.574 0.744